Crystalline CeTm2Tc2C4 at its relaxed geometry, computed with GGA-PBE.

Results
* calculated total energy: -73.64 eV per cell
* symmetry: C2/m
* ΔE_f: -0.13 eV/atom

Unit cell a=7.0051 b=7.0051 c=5.9159 alpha=110.50 beta=110.50 gamma=27.27
Last column: nearest neighbours and their distance in Å.
Element x y z (fractional)
Ce: 0.0000 0.0000 0.0000  6 C 2.80-2.91, 4 Tc 2.89, 2 Tm 3.05
Tm: 0.1445 0.1445 0.5309  7 C 2.44-2.65
Tm: 0.8555 0.8555 0.4691  7 C 2.44-2.65
Tc: 0.3288 0.3288 0.0167  3 C 2.15
Tc: 0.6712 0.6712 0.9833  3 C 2.15
C: 0.2287 0.2287 0.2270  3 Tc 2.15
C: 0.4873 0.4873 0.3714  1 C 1.43
C: 0.5127 0.5127 0.6286  1 C 1.43
C: 0.7713 0.7713 0.7730  3 Tc 2.15



Crystalline TbCePt2 at its relaxed geometry, computed with GGA-PBE.

Results
* calculated total energy: -54.82 eV per cell
* symmetry: Amm2
* ΔE_f: -1.19 eV/atom

Unit cell a=4.5080 b=3.7856 c=10.7625 alpha=90.00 beta=90.00 gamma=90.00
Last column: nearest neighbours and their distance in Å.
Element x y z (fractional)
Tb: 0.0000 0.0000 0.0000  7 Pt 2.90-3.12
Tb: 0.0000 0.5000 0.5000  7 Pt 2.90-3.12
Ce: 0.5000 0.0000 0.2736  7 Pt 2.94-3.09
Ce: 0.5000 0.5000 0.7736  7 Pt 2.94-3.09
Pt: 0.0000 0.0000 0.7301  3 Tb 2.90-3.12, 4 Ce 2.98, 2 Pt 3.00
Pt: 0.0000 0.5000 0.2301  3 Tb 2.90-3.12, 4 Ce 2.98, 2 Pt 3.00
Pt: 0.5000 0.0000 0.5463  3 Ce 2.94-3.09, 4 Tb 2.99, 2 Pt 3.00
Pt: 0.5000 0.5000 0.0463  3 Ce 2.94-3.09, 4 Tb 2.99, 2 Pt 3.00



Crystalline Sc3Ru5 at its relaxed geometry, computed with GGA-PBE.

Results
* calculated total energy: -132.31 eV per cell
* symmetry: P-1
* relative energy among the computed polymorphs: 230 meV/atom
* ΔE_f: -0.10 eV/atom

Unit cell a=5.2306 b=7.5173 c=7.5187 alpha=82.82 beta=69.91 gamma=69.91
Last column: nearest neighbours and their distance in Å.
Element x y z (fractional)
Sc: 0.1875 0.0045 0.1343  5 Ru 2.55-2.84
Sc: 0.2509 0.4716 0.0270  2 Sc 2.67, 6 Ru 2.68-2.93
Sc: 0.3120 0.3661 0.4959  5 Ru 2.54-2.84
Sc: 0.6880 0.6339 0.5041  5 Ru 2.54-2.84
Sc: 0.7491 0.5284 0.9730  2 Sc 2.67, 6 Ru 2.68-2.93
Sc: 0.8125 0.9955 0.8657  5 Ru 2.55-2.84
Ru: 0.0864 0.6826 0.6888  3 Sc 2.55-2.69, 2 Ru 2.70-2.71
Ru: 0.2418 0.1939 0.8137  3 Sc 2.54-2.81, 1 Ru 2.71
Ru: 0.2496 0.0053 0.4949  8 Ru 2.61-2.92, 2 Sc 2.84
Ru: 0.2583 0.6859 0.3057  3 Sc 2.55-2.82, 1 Ru 2.71
Ru: 0.4136 0.8108 0.8178  3 Sc 2.56-2.68, 2 Ru 2.70-2.71
Ru: 0.5864 0.1892 0.1822  3 Sc 2.56-2.68, 2 Ru 2.70-2.71
Ru: 0.7417 0.3141 0.6943  3 Sc 2.55-2.82, 1 Ru 2.71
Ru: 0.7504 0.9947 0.5051  8 Ru 2.61-2.92, 2 Sc 2.84
Ru: 0.7582 0.8061 0.1863  3 Sc 2.54-2.81, 1 Ru 2.71
Ru: 0.9136 0.3174 0.3112  3 Sc 2.55-2.69, 2 Ru 2.70-2.71



Crystalline AlTlPb2 at its relaxed geometry, computed with GGA-PBE.

Results
* calculated total energy: -38.27 eV per cell
* symmetry: R3m
* relative energy among the computed polymorphs: 80 meV/atom
* ΔE_f: 0.19 eV/atom

Unit cell a=4.5666 b=4.5666 c=20.7122 alpha=90.00 beta=90.00 gamma=120.00
Last column: nearest neighbours and their distance in Å.
Element x y z (fractional)
Al: 0.0000 0.0000 0.0000  6 Pb 2.95-2.96
Al: 0.3333 0.6667 0.6667  6 Pb 2.95-2.96
Al: 0.6667 0.3333 0.3333  6 Pb 2.95-2.96
Tl: 0.0000 0.0000 0.8344  6 Pb 3.38-3.39, 1 Al 3.43
Tl: 0.3333 0.6667 0.5011  6 Pb 3.38-3.39, 1 Al 3.43
Tl: 0.6667 0.3333 0.1678  6 Pb 3.38-3.39, 1 Al 3.43
Pb: 0.0000 0.0000 0.3984  3 Al 2.96
Pb: 0.0000 0.0000 0.6029  3 Al 2.95
Pb: 0.3333 0.6667 0.0651  3 Al 2.96
Pb: 0.3333 0.6667 0.2696  3 Al 2.95
Pb: 0.6667 0.3333 0.7317  3 Al 2.96
Pb: 0.6667 0.3333 0.9363  3 Al 2.95



Crystalline Ac2InPd2Pt5 at its relaxed geometry, computed with GGA-PBE.

Results
* calculated total energy: -118.32 eV per cell
* symmetry: P4/mbm
* ΔE_f: -0.76 eV/atom

Unit cell a=9.8181 b=9.8181 c=4.2066 alpha=90.00 beta=90.00 gamma=90.00
Last column: nearest neighbours and their distance in Å.
Element x y z (fractional)
Ac: 0.1737 0.3263 0.0000  3 Pd 2.79-2.98
Ac: 0.3263 0.8263 0.0000  3 Pd 2.79-2.98
Ac: 0.6737 0.1737 0.0000  3 Pd 2.79-2.98
Ac: 0.8263 0.6737 0.0000  3 Pd 2.79-2.98
In: 0.0000 0.0000 0.0000  8 Pt 2.96
In: 0.5000 0.5000 0.0000  8 Pt 2.96
Pd: 0.1255 0.6255 0.0000  6 Pt 2.73-2.77, 3 Ac 2.79-2.98
Pd: 0.3745 0.1255 0.0000  6 Pt 2.73-2.77, 3 Ac 2.79-2.98
Pd: 0.6255 0.8745 0.0000  6 Pt 2.73-2.77, 3 Ac 2.79-2.98
Pd: 0.8745 0.3745 0.0000  6 Pt 2.73-2.77, 3 Ac 2.79-2.98
Pt: 0.0000 0.5000 0.5000  4 Pd 2.73, 4 Pt 2.97
Pt: 0.0590 0.7966 0.5000  2 Pd 2.77, 3 Pt 2.94-2.97, 2 In 2.96
Pt: 0.2034 0.0590 0.5000  2 Pd 2.77, 3 Pt 2.94-2.97, 2 In 2.96
Pt: 0.2966 0.5590 0.5000  2 Pd 2.77, 3 Pt 2.94-2.97, 2 In 2.96
Pt: 0.4410 0.2966 0.5000  2 Pd 2.77, 3 Pt 2.94-2.97, 2 In 2.96
Pt: 0.5000 0.0000 0.5000  4 Pd 2.73, 4 Pt 2.97
Pt: 0.5590 0.7034 0.5000  2 Pd 2.77, 3 Pt 2.94-2.97, 2 In 2.96
Pt: 0.7034 0.4410 0.5000  2 Pd 2.77, 3 Pt 2.94-2.97, 2 In 2.96
Pt: 0.7966 0.9410 0.5000  2 Pd 2.77, 3 Pt 2.94-2.97, 2 In 2.96
Pt: 0.9410 0.2034 0.5000  2 Pd 2.77, 3 Pt 2.94-2.97, 2 In 2.96



Crystalline Mn2BeTc at its relaxed geometry, computed with GGA-PBE.

Results
* calculated total energy: -64.96 eV per cell
* symmetry: Imm2
* ΔE_f: -0.01 eV/atom

Unit cell a=2.8876 b=3.9902 c=7.8287 alpha=90.00 beta=90.00 gamma=90.00
Last column: nearest neighbours and their distance in Å.
Element x y z (fractional)
Mn: 0.0000 0.0000 0.0000  2 Mn 2.42, 4 Be 2.46, 2 Tc 2.47
Mn: 0.0000 0.5000 0.2527  2 Be 2.36, 2 Mn 2.42, 4 Tc 2.46
Mn: 0.5000 0.0000 0.7527  2 Be 2.36, 2 Mn 2.42, 4 Tc 2.46
Mn: 0.5000 0.5000 0.5000  2 Mn 2.42, 4 Be 2.46, 2 Tc 2.47
Be: 0.0000 0.0000 0.5135  6 Mn 2.36-2.46, 2 Tc 2.48
Be: 0.5000 0.5000 0.0135  6 Mn 2.36-2.46, 2 Tc 2.48
Tc: 0.0000 0.5000 0.7558  6 Mn 2.46-2.47, 4 Be 2.48-2.75
Tc: 0.5000 0.0000 0.2558  6 Mn 2.46-2.47, 4 Be 2.48-2.75



Crystalline Pm5GeSb4 at its relaxed geometry, computed with GGA-PBE.

Results
* calculated total energy: -55.58 eV per cell
* symmetry: I4/m
* formation energy from raw total energies: -1071.7 meV per atom

Unit cell a=7.7002 b=7.7002 c=7.7002 alpha=99.62 beta=99.62 gamma=131.74
Last column: nearest neighbours and their distance in Å.
Element x y z (fractional)
Pm: 0.0000 0.0000 0.0000  2 Ge 3.15, 4 Sb 3.15
Pm: 0.2088 0.4013 0.6101  1 Ge 3.06, 5 Sb 3.15-3.19
Pm: 0.4013 0.7912 0.1925  1 Ge 3.06, 5 Sb 3.15-3.19
Pm: 0.5987 0.2088 0.8075  1 Ge 3.06, 5 Sb 3.15-3.19
Pm: 0.7912 0.5987 0.3899  1 Ge 3.06, 5 Sb 3.15-3.19
Ge: 0.5000 0.5000 0.0000  6 Pm 3.06-3.15
Sb: 0.0961 0.6980 0.7941  6 Pm 3.15-3.19
Sb: 0.3020 0.0961 0.3980  6 Pm 3.15-3.19
Sb: 0.6980 0.9039 0.6020  6 Pm 3.15-3.19
Sb: 0.9039 0.3020 0.2059  6 Pm 3.15-3.19



Crystalline TaReAs2W at its relaxed geometry, computed with GGA-PBE.

Results
* calculated total energy: -36.60 eV per cell
* symmetry: P4/mmm
* ΔE_f: 1.99 eV/atom

Unit cell a=4.7890 b=4.7890 c=4.8478 alpha=90.00 beta=90.00 gamma=90.00
Last column: nearest neighbours and their distance in Å.
Element x y z (fractional)
Ta: 0.0000 0.0000 0.0000  4 As 2.39, 2 Re 2.42
Re: 0.0000 0.0000 0.5000  2 Ta 2.42
As: 0.0000 0.5000 0.0000  2 Ta 2.39
As: 0.5000 0.0000 0.0000  2 Ta 2.39
W: 0.5000 0.5000 0.5000  4 Re 3.39, 8 As 3.41



Crystalline Cd3BI at its relaxed geometry, computed with GGA-PBE.

Results
* calculated total energy: -3.22 eV per cell
* symmetry: Pm-3m
* formation energy from raw total energies: 1550.0 meV per atom
* relative energy among the computed polymorphs: 1320 meV/atom

Unit cell a=6.2577 b=6.2577 c=6.2577 alpha=90.00 beta=90.00 gamma=90.00
Last column: nearest neighbours and their distance in Å.
Element x y z (fractional)
Cd: 0.0000 0.0000 0.5000  2 I 3.13
Cd: 0.0000 0.5000 0.0000  2 I 3.13
Cd: 0.5000 0.0000 0.0000  2 I 3.13
B: 0.5000 0.5000 0.5000  12 Cd 4.42
I: 0.0000 0.0000 0.0000  6 Cd 3.13



Crystalline Hf2ZrCd at its relaxed geometry, computed with GGA-PBE.

Results
* calculated total energy: -58.65 eV per cell
* symmetry: Pm
* ΔE_f: 0.01 eV/atom

Unit cell a=6.5212 b=3.2275 c=9.0375 alpha=90.00 beta=110.16 gamma=90.00
Last column: nearest neighbours and their distance in Å.
Element x y z (fractional)
Hf: 0.0000 0.0000 0.0000  8 Hf 3.09-3.25, 2 Cd 3.12, 2 Zr 3.17-3.35
Hf: 0.1203 0.5000 0.7493  4 Zr 3.04-3.14, 6 Hf 3.09-3.30, 2 Cd 3.19
Hf: 0.3660 0.5000 0.2508  4 Zr 3.04-3.17, 4 Cd 3.11-3.29, 4 Hf 3.12-3.23
Hf: 0.6089 0.5000 0.7386  4 Zr 3.11-3.13, 2 Cd 3.11, 6 Hf 3.22-3.30
Zr: 0.2360 0.0000 0.4902  6 Hf 3.04-3.14, 4 Cd 3.13-3.30, 2 Zr 3.23
Zr: 0.4800 0.0000 0.9877  8 Hf 3.04-3.35, 2 Cd 3.19, 2 Zr 3.23
Cd: 0.7422 0.0000 0.4915  4 Cd 3.05-3.23, 6 Hf 3.11-3.19, 2 Zr 3.22-3.30
Cd: 0.8595 0.5000 0.2451  4 Cd 3.05-3.23, 4 Hf 3.12-3.29, 4 Zr 3.13-3.19